(1)
Material: TaPbC2
Method: DFT, PBEsol
State: relaxed

a = 5.248 Å, b = 5.248 Å, c = 6.149 Å
α = 115.26°, β = 115.26°, γ = 90.00°
Element x y z (fractional)
C 0.125 0.184 0.750
C 0.625 0.566 0.750
Ta 0.750 0.250 0.500
Pb 0.000 0.000 0.000
C 0.434 0.875 0.250
Pb 0.250 0.750 0.500
C 0.816 0.375 0.250
Ta 0.500 0.500 0.000

Results
energy relative to the elements: 805 meV per atom
volume: 68 Å³/f.u.
E_tot: -65.23 eV per cell

***

(2)
Material: CdCu
Method: DFT, PBEsol
State: relaxed

a = 4.472 Å, b = 5.206 Å, c = 5.206 Å
α = 120.00°, β = 90.00°, γ = 90.00°
Element x y z (fractional)
Cu 0.000 0.500 0.000
Cd 0.500 0.667 0.333
Cd 0.000 0.000 0.000
Cd 0.500 0.333 0.667
Cu 0.000 0.000 0.500
Cu 0.000 0.500 0.500

Results
energy relative to the elements: 74 meV per atom
volume: 35 Å³/f.u.
E_tot: -16.15 eV per cell

***

(3)
Material: Y2Ir2O7
Method: DFT, PBEsol
State: relaxed

a = 7.159 Å, b = 7.159 Å, c = 7.159 Å
α = 60.00°, β = 60.00°, γ = 60.00°
Element x y z (fractional)
Y 0.625 0.125 0.625
Y 0.625 0.625 0.125
O 0.037 0.037 0.463
O 0.463 0.463 0.037
O 0.500 0.500 0.500
Y 0.125 0.625 0.625
O 0.213 0.787 0.787
Y 0.625 0.625 0.625
O 0.787 0.787 0.213
Ir 0.125 0.125 0.125
Ir 0.125 0.125 0.625
O 0.213 0.787 0.213
O 0.463 0.037 0.463
O 0.787 0.213 0.787
Ir 0.625 0.125 0.125
O 0.750 0.750 0.750
O 0.213 0.213 0.787
O 0.463 0.037 0.037
O 0.037 0.463 0.463
O 0.037 0.463 0.037
Ir 0.125 0.625 0.125
O 0.787 0.213 0.213

Results
raw formation energy: -2.11 eV per atom
volume: 130 Å³/f.u.
E_tot: -186.55 eV per cell

***

(4)
Material: Sc2HPt
Method: DFT, PBEsol
State: relaxed

a = 5.428 Å, b = 5.428 Å, c = 5.428 Å
α = 104.73°, β = 111.89°, γ = 111.89°
Element x y z (fractional)
Sc 0.078 0.875 0.453
H 0.000 0.500 0.500
Pt 0.500 0.750 0.250
H 0.500 0.250 0.750
Sc 0.422 0.547 0.625
Sc 0.922 0.375 0.797
Pt 0.000 0.000 0.000
Sc 0.578 0.203 0.125

Results
volume: 61 Å³/f.u.
E_tot: -52.50 eV per cell

***

(5)
Material: La3AuI3
Method: DFT, PBEsol
State: relaxed

a = 10.853 Å, b = 10.853 Å, c = 10.853 Å
α = 109.47°, β = 109.47°, γ = 109.47°
Element x y z (fractional)
La 0.250 0.512 0.488
I 0.750 0.489 0.511
I 0.750 0.261 0.739
Au 0.500 0.750 0.500
I 0.011 0.750 0.989
La 0.762 0.512 0.024
La 0.738 0.976 0.488
I 0.023 0.011 0.761
I 0.239 0.489 0.977
La 0.976 0.988 0.238
I 0.261 0.239 0.250
La 0.250 0.738 0.262
La 0.988 0.250 0.012
I 0.261 0.023 0.511
La 0.512 0.524 0.262
I 0.489 0.011 0.250
Au 0.000 0.500 0.250
La 0.762 0.250 0.238
I 0.477 0.239 0.989
La 0.524 0.762 0.012
Au 0.750 0.750 0.250
La 0.988 0.738 0.476
Au 0.750 0.000 0.000
La 0.738 0.762 0.750
I 0.239 0.750 0.761
La 0.512 0.988 0.750
I 0.489 0.477 0.739
I 0.011 0.261 0.523

Results
raw formation energy: -1.15 eV per atom
volume: 246 Å³/f.u.
E_tot: -133.37 eV per cell

***

(6)
Material: ZrTa2In
Method: DFT, PBEsol
State: relaxed

a = 2.953 Å, b = 4.557 Å, c = 5.977 Å
α = 90.00°, β = 104.99°, γ = 90.00°
Element x y z (fractional)
Ta 0.787 0.500 0.244
Ta 0.952 0.000 0.016
Zr 0.526 0.000 0.480
In 0.235 0.500 0.760

Results
energy relative to the elements: 50 meV per atom
volume: 78 Å³/f.u.
E_tot: -36.97 eV per cell